No. 1
Computed, not measured: a geometry-optimized YMgPbI2 structure at the GGA-PBE level of DFT.

Computed properties:
Mass density = 4.01 Mg/m³
E_form (uncorrected) = 238 meV/atom

Cell lengths 6.1746, 6.2352, 6.1746 Å; angles 90.00, 90.00, 90.00 degrees
With the nearest neighbours (Å) after each atom.
Sites, in units of the cell vectors:
Y (0.0000, 0.5000, 0.0000)  2 Pb 3.12
Pb (0.0000, 0.0000, 0.0000)  4 I 3.09, 2 Y 3.12
I (0.0000, 0.0000, 0.5000)  2 Pb 3.09
I (0.5000, 0.0000, 0.0000)  2 Pb 3.09
Mg (0.5000, 0.5000, 0.5000)  4 Y 4.37, 8 I 4.39



No. 2
Computed, not measured: a geometry-optimized Mg2PdI structure at the GGA-PBE level of DFT.

Computed properties:
Relative energy among the computed polymorphs = 0.00 eV/f.u.
Mass density = 3.78 Mg/m³
E_form (uncorrected) = -196 meV/atom

Cell lengths 5.7103, 5.7103, 8.6074 Å; angles 70.63, 70.63, 90.00 degrees
With the nearest neighbours (Å) after each atom.
Sites, in units of the cell vectors:
I (0.7500, 0.2500, 0.5000)  4 Mg 3.05
I (0.0000, 0.0000, 0.0000)  4 Mg 3.05
Mg (0.5404, 0.1250, 0.2500)  2 Pd 2.56
Mg (0.2096, 0.6250, 0.2500)  2 Pd 2.56
Mg (0.3750, 0.4596, 0.7500)  2 Pd 2.56
Mg (0.8750, 0.7904, 0.7500)  2 Pd 2.56
Pd (0.2500, 0.7500, 0.5000)  4 Mg 2.56
Pd (0.5000, 0.5000, 0.0000)  4 Mg 2.56



No. 3
Computed, not measured: a geometry-optimized Mg5Pd3I12 structure at the GGA-PBE level of DFT.

Computed properties:
Mass density = 4.32 Mg/m³
E_form (uncorrected) = -468 meV/atom

Cell lengths 15.7686, 15.7686, 15.7686 Å; angles 109.47, 109.47, 109.47 degrees
With the nearest neighbours (Å) after each atom.
Sites, in units of the cell vectors:
I (0.3143, 0.8501, 0.9774)  2 Mg 2.80-2.90, 1 Pd 2.99
I (0.8143, 0.3370, 0.9643)  2 Mg 2.80-2.90, 1 Pd 2.99
I (0.6630, 0.1857, 0.5357)  2 Mg 2.80-2.90, 1 Pd 2.99
I (0.1857, 0.6630, 0.0357)  2 Mg 2.80-2.90, 1 Pd 2.99
I (0.6857, 0.1499, 0.0226)  2 Mg 2.80-2.90, 1 Pd 2.99
I (0.1630, 0.0357, 0.6857)  2 Mg 2.80-2.90, 1 Pd 2.99
I (0.0226, 0.3727, 0.8370)  2 Mg 2.80-2.90, 1 Pd 2.99
I (0.8370, 0.8727, 0.0226)  2 Mg 2.80-2.90, 1 Pd 2.99
I (0.4643, 0.1499, 0.6273)  2 Mg 2.80-2.90, 1 Pd 2.99
I (0.5357, 0.8501, 0.3727)  2 Mg 2.80-2.90, 1 Pd 2.99
I (0.8727, 0.8370, 0.5226)  2 Mg 2.80-2.90, 1 Pd 2.99
I (0.1857, 0.5226, 0.6499)  2 Mg 2.80-2.90, 1 Pd 2.99
I (0.0357, 0.1630, 0.1857)  2 Mg 2.80-2.90, 1 Pd 2.99
I (0.1499, 0.4643, 0.1273)  2 Mg 2.80-2.90, 1 Pd 2.99
I (0.3370, 0.5226, 0.3727)  2 Mg 2.80-2.90, 1 Pd 2.99
I (0.8143, 0.4774, 0.3501)  2 Mg 2.80-2.90, 1 Pd 2.99
I (0.6857, 0.5357, 0.1630)  2 Mg 2.80-2.90, 1 Pd 2.99
I (0.9774, 0.3501, 0.3143)  2 Mg 2.80-2.90, 1 Pd 2.99
I (0.6499, 0.6273, 0.9643)  2 Mg 2.80-2.90, 1 Pd 2.99
I (0.9774, 0.6273, 0.1630)  2 Mg 2.80-2.90, 1 Pd 2.99
I (0.6273, 0.9774, 0.6630)  2 Mg 2.80-2.90, 1 Pd 2.99
I (0.0226, 0.6499, 0.6857)  2 Mg 2.80-2.90, 1 Pd 2.99
I (0.1630, 0.1273, 0.9774)  2 Mg 2.80-2.90, 1 Pd 2.99
I (0.3501, 0.9774, 0.8143)  2 Mg 2.80-2.90, 1 Pd 2.99
I (0.3143, 0.4643, 0.8370)  2 Mg 2.80-2.90, 1 Pd 2.99
I (0.9643, 0.1273, 0.6499)  2 Mg 2.80-2.90, 1 Pd 2.99
I (0.8501, 0.3143, 0.4774)  2 Mg 2.80-2.90, 1 Pd 2.99
I (0.3727, 0.0226, 0.3370)  2 Mg 2.80-2.90, 1 Pd 2.99
I (0.1273, 0.9643, 0.1499)  2 Mg 2.80-2.90, 1 Pd 2.99
I (0.3501, 0.3727, 0.0357)  2 Mg 2.80-2.90, 1 Pd 2.99
I (0.8727, 0.0357, 0.8501)  2 Mg 2.80-2.90, 1 Pd 2.99
I (0.1499, 0.6857, 0.5226)  2 Mg 2.80-2.90, 1 Pd 2.99
I (0.6630, 0.4774, 0.6273)  2 Mg 2.80-2.90, 1 Pd 2.99
I (0.6499, 0.0226, 0.1857)  2 Mg 2.80-2.90, 1 Pd 2.99
I (0.0357, 0.8727, 0.3501)  2 Mg 2.80-2.90, 1 Pd 2.99
I (0.4643, 0.3143, 0.3370)  2 Mg 2.80-2.90, 1 Pd 2.99
I (0.5226, 0.3370, 0.8727)  2 Mg 2.80-2.90, 1 Pd 2.99
I (0.3727, 0.3501, 0.5357)  2 Mg 2.80-2.90, 1 Pd 2.99
I (0.1273, 0.1630, 0.4774)  2 Mg 2.80-2.90, 1 Pd 2.99
I (0.9643, 0.8370, 0.8143)  2 Mg 2.80-2.90, 1 Pd 2.99
I (0.3370, 0.8143, 0.4643)  2 Mg 2.80-2.90, 1 Pd 2.99
I (0.4774, 0.8143, 0.8501)  2 Mg 2.80-2.90, 1 Pd 2.99
I (0.6273, 0.6499, 0.4643)  2 Mg 2.80-2.90, 1 Pd 2.99
I (0.8370, 0.9643, 0.3143)  2 Mg 2.80-2.90, 1 Pd 2.99
I (0.5357, 0.6857, 0.6630)  2 Mg 2.80-2.90, 1 Pd 2.99
I (0.4774, 0.6630, 0.1273)  2 Mg 2.80-2.90, 1 Pd 2.99
I (0.8501, 0.5357, 0.8727)  2 Mg 2.80-2.90, 1 Pd 2.99
I (0.5226, 0.1857, 0.1499)  2 Mg 2.80-2.90, 1 Pd 2.99
Pd (0.8750, 0.1250, 0.2500)  4 I 2.99
Pd (0.7500, 0.8750, 0.6250)  4 I 2.99
Pd (0.6250, 0.2500, 0.3750)  4 I 2.99
Pd (0.7500, 0.3750, 0.1250)  4 I 2.99
Pd (0.1250, 0.2500, 0.8750)  4 I 2.99
Pd (0.3750, 0.6250, 0.2500)  4 I 2.99
Pd (0.2500, 0.1250, 0.3750)  4 I 2.99
Pd (0.2500, 0.6250, 0.8750)  4 I 2.99
Pd (0.3750, 0.7500, 0.6250)  4 I 2.99
Pd (0.8750, 0.7500, 0.1250)  4 I 2.99
Pd (0.6250, 0.3750, 0.7500)  4 I 2.99
Pd (0.1250, 0.8750, 0.7500)  4 I 2.99
Mg (0.0000, 0.5000, 0.5000)  6 I 2.90
Mg (0.5000, 0.5000, 0.0000)  6 I 2.90
Mg (0.0000, 0.5000, 0.0000)  6 I 2.90
Mg (0.2500, 0.3750, 0.6250)  4 I 2.80
Mg (0.1250, 0.7500, 0.3750)  4 I 2.80
Mg (0.8750, 0.2500, 0.6250)  4 I 2.80
Mg (0.3750, 0.2500, 0.1250)  4 I 2.80
Mg (0.5000, 0.5000, 0.5000)  6 I 2.90
Mg (0.5000, 0.0000, 0.5000)  6 I 2.90
Mg (0.3750, 0.1250, 0.7500)  4 I 2.80
Mg (0.5000, 0.0000, 0.0000)  6 I 2.90
Mg (0.7500, 0.6250, 0.3750)  4 I 2.80
Mg (0.1250, 0.3750, 0.2500)  4 I 2.80
Mg (0.0000, 0.0000, 0.0000)  6 I 2.90
Mg (0.6250, 0.8750, 0.2500)  4 I 2.80
Mg (0.8750, 0.6250, 0.7500)  4 I 2.80
Mg (0.6250, 0.7500, 0.8750)  4 I 2.80
Mg (0.2500, 0.8750, 0.1250)  4 I 2.80
Mg (0.7500, 0.1250, 0.8750)  4 I 2.80
Mg (0.0000, 0.0000, 0.5000)  6 I 2.90



No. 4
Computed, not measured: a geometry-optimized Mg2PdI structure at the GGA-PBE level of DFT.

Computed properties:
Relative energy among the computed polymorphs = 0.70 eV/f.u.
Mass density = 5.30 Mg/m³
E_form (uncorrected) = -21 meV/atom

Cell lengths 5.0002, 5.0002, 5.0002 Å; angles 60.00, 60.00, 60.00 degrees
With the nearest neighbours (Å) after each atom.
Sites, in units of the cell vectors:
Mg (0.7500, 0.7500, 0.7500)  4 Pd 3.06, 4 I 3.06
Mg (0.2500, 0.2500, 0.2500)  4 I 3.06, 4 Pd 3.06
I (0.5000, 0.5000, 0.5000)  8 Mg 3.06
Pd (0.0000, 0.0000, 0.0000)  8 Mg 3.06



No. 5
Computed, not measured: a geometry-optimized MgPd3I structure at the GGA-PBE level of DFT.

Computed properties:
Relative energy among the computed polymorphs = 0.00 eV/f.u.
Mass density = 7.26 Mg/m³
E_form (uncorrected) = 391 meV/atom

Cell lengths 4.7558, 4.7558, 4.7558 Å; angles 90.00, 90.00, 90.00 degrees
With the nearest neighbours (Å) after each atom.
Sites, in units of the cell vectors:
Pd (0.0000, 0.5000, 0.0000)  2 Mg 2.38
Pd (0.0000, 0.0000, 0.5000)  2 Mg 2.38
Pd (0.5000, 0.0000, 0.0000)  2 Mg 2.38
I (0.5000, 0.5000, 0.5000)  12 Pd 3.36
Mg (0.0000, 0.0000, 0.0000)  6 Pd 2.38



No. 6
Computed, not measured: a geometry-optimized MgPdI structure at the GGA-PBE level of DFT.

Computed properties:
Mass density = 5.85 Mg/m³
E_form (uncorrected) = -234 meV/atom

Cell lengths 3.9484, 3.9719, 10.7467 Å; angles 90.00, 90.00, 119.80 degrees
With the nearest neighbours (Å) after each atom.
Sites, in units of the cell vectors:
Mg (0.2715, 0.5430, 0.8601)  3 Pd 2.73-2.75, 3 I 2.97-2.98, 1 Mg 3.01
Mg (0.2715, 0.5430, 0.1399)  3 Pd 2.73-2.75, 3 I 2.97-2.98, 1 Mg 3.01
I (0.6024, 0.2048, 0.3165)  1 Pd 2.81, 3 Mg 2.97-2.98
I (0.6024, 0.2048, 0.6835)  1 Pd 2.81, 3 Mg 2.97-2.98
Pd (0.6058, 0.2115, 0.0000)  6 Mg 2.73-2.75
Pd (0.3129, 0.6259, 0.5000)  2 I 2.81



No. 7
Computed, not measured: a geometry-optimized RbMg2PdI structure at the GGA-PBE level of DFT.

Computed properties:
Mass density = 3.58 Mg/m³
E_form (uncorrected) = -351 meV/atom

Cell lengths 5.1029, 6.5400, 5.1029 Å; angles 90.00, 90.00, 90.00 degrees
With the nearest neighbours (Å) after each atom.
Sites, in units of the cell vectors:
I (0.0000, 0.5000, 0.0000)  2 Pd 3.27, 4 Rb 3.61
Mg (0.0000, 0.0000, 0.5000)  2 Pd 2.55
Mg (0.5000, 0.0000, 0.0000)  2 Pd 2.55
Rb (0.5000, 0.5000, 0.5000)  4 I 3.61
Pd (0.0000, 0.0000, 0.0000)  4 Mg 2.55



No. 8
Computed, not measured: a geometry-optimized Rb2MgPdI6 structure at the GGA-PBE level of DFT.

Computed properties:
Mass density = 4.55 Mg/m³
E_form (uncorrected) = -859 meV/atom

Cell lengths 8.1812, 8.1812, 8.1868 Å; angles 60.02, 60.02, 90.00 degrees
With the nearest neighbours (Å) after each atom.
Sites, in units of the cell vectors:
Rb (0.2500, 0.7500, 0.5000)  12 I 4.09
Rb (0.7500, 0.2500, 0.5000)  12 I 4.09
I (0.2453, 0.7547, 0.0000)  1 Pd 2.84, 1 Mg 2.95
I (0.2448, 0.2448, 0.5104)  1 Pd 2.84, 1 Mg 2.96
I (0.2453, 0.2453, 0.0000)  1 Pd 2.84, 1 Mg 2.95
I (0.7547, 0.7547, 0.0000)  1 Pd 2.84, 1 Mg 2.95
I (0.7547, 0.2453, 0.0000)  1 Pd 2.84, 1 Mg 2.95
I (0.7552, 0.7552, 0.4896)  1 Pd 2.84, 1 Mg 2.96
Mg (0.5000, 0.5000, 0.0000)  6 I 2.95-2.96
Pd (0.0000, 0.0000, 0.0000)  6 I 2.84



No. 9
Computed, not measured: a geometry-optimized MgRe2PdI structure at the GGA-PBE level of DFT.

Computed properties:
Mass density = 8.00 Mg/m³
E_form (uncorrected) = 2020 meV/atom

Cell lengths 4.9294, 5.3818, 4.9294 Å; angles 90.00, 90.00, 90.00 degrees
With the nearest neighbours (Å) after each atom.
Sites, in units of the cell vectors:
Pd (0.0000, 0.0000, 0.0000)  4 Re 2.46, 2 I 2.69
Re (0.5000, 0.0000, 0.0000)  2 Pd 2.46
Re (0.0000, 0.0000, 0.5000)  2 Pd 2.46
I (0.0000, 0.5000, 0.0000)  2 Pd 2.69
Mg (0.5000, 0.5000, 0.5000)  4 I 3.49, 8 Re 3.65



No. 10
Computed, not measured: a geometry-optimized MgPd2RuI structure at the GGA-PBE level of DFT.

Computed properties:
Mass density = 6.65 Mg/m³
E_form (uncorrected) = 1132 meV/atom

Cell lengths 4.6952, 5.2709, 4.6952 Å; angles 90.00, 90.00, 90.00 degrees
With the nearest neighbours (Å) after each atom.
Sites, in units of the cell vectors:
Mg (0.0000, 0.0000, 0.0000)  4 Pd 2.35
Ru (0.5000, 0.5000, 0.5000)  4 I 3.32, 8 Pd 3.53
Pd (0.0000, 0.0000, 0.5000)  2 Mg 2.35
Pd (0.5000, 0.0000, 0.0000)  2 Mg 2.35
I (0.0000, 0.5000, 0.0000)  2 Mg 2.64



No. 11
Computed, not measured: a geometry-optimized Mg2ScPdI structure at the GGA-PBE level of DFT.

Computed properties:
Mass density = 3.99 Mg/m³
E_form (uncorrected) = 165 meV/atom

Cell lengths 4.9290, 5.6041, 4.9290 Å; angles 90.00, 90.00, 90.00 degrees
With the nearest neighbours (Å) after each atom.
Sites, in units of the cell vectors:
I (0.0000, 0.5000, 0.0000)  2 Pd 2.80
Pd (0.0000, 0.0000, 0.0000)  4 Mg 2.46
Mg (0.0000, 0.0000, 0.5000)  2 Pd 2.46
Mg (0.5000, 0.0000, 0.0000)  2 Pd 2.46
Sc (0.5000, 0.5000, 0.5000)  4 I 3.49, 8 Mg 3.73